No. 1
Material: Cu3AsPd6
Method: DFT, PBE-GGA
State: relaxed

Calculated values
Its magnetization is 0.00 μB/f.u. The final energy comes out at -4.918 eV/atom. The calculation puts the formation enthalpy at 0 K at -0.108 eV/atom. Its energy above the lowest structure with this stoichiometry is 61.9 meV/atom. The space group is No. 14.

Cell lengths 7.334, 5.296, 10.570 Å; angles 90.00, 133.38, 90.00 degrees
Sites, in units of the cell vectors:
Cu: 0.000 0.000 0.000
Cu: 0.000 0.500 0.500
Cu: 0.256 0.230 0.750
Cu: 0.256 0.270 0.250
Cu: 0.744 0.730 0.750
Cu: 0.744 0.770 0.250
As: 0.500 0.000 0.500
As: 0.500 0.500 0.000
Pd: 0.107 0.740 0.253
Pd: 0.107 0.760 0.753
Pd: 0.234 0.594 0.059
Pd: 0.234 0.906 0.559
Pd: 0.389 0.100 0.059
Pd: 0.389 0.400 0.559
Pd: 0.611 0.600 0.441
Pd: 0.611 0.900 0.941
Pd: 0.766 0.094 0.441
Pd: 0.766 0.406 0.941
Pd: 0.893 0.240 0.247
Pd: 0.893 0.260 0.747



No. 2
Material: AlAg2Bi
Method: DFT, PBE-GGA
State: relaxed

Calculated values
Its magnetization is 0.00 μB/f.u. The final energy comes out at -3.235 eV/atom. The calculation puts the formation enthalpy at 0 K at 0.097 eV/atom. Its energy above the lowest structure with this stoichiometry is 14.4 meV/atom. The space group is No. 166.

Cell lengths 5.676, 5.676, 5.676 Å; angles 46.69, 46.69, 46.69 degrees
Sites, in units of the cell vectors:
Al: 0.000 0.000 0.000
Ag: 0.284 0.284 0.284
Ag: 0.716 0.716 0.716
Bi: 0.500 0.500 0.500



No. 3
Material: TcPb2Br
Method: DFT, PBE-GGA
State: relaxed

Calculated values
Its magnetization is 1.62 μB/f.u. The final energy comes out at -4.398 eV/atom. Its energy above the lowest structure with this stoichiometry is 178.7 meV/atom. The space group is No. 12. The value obtained for the formation energy (no corrections) is 0.466 eV per atom.

Cell lengths 5.613, 5.613, 3.257 Å; angles 100.35, 100.35, 89.00 degrees
Sites, in units of the cell vectors:
Tc: 0.000 0.000 0.000
Pb: 0.000 0.500 0.500
Pb: 0.500 0.000 0.500
Br: 0.500 0.500 0.000



No. 4
Material: TiMn2Cu
Method: DFT, PBE-GGA
State: relaxed

Calculated values
Its magnetization is 4.71 μB/f.u. The final energy comes out at -7.584 eV/atom. The calculation puts the formation enthalpy at 0 K at -0.001 eV/atom. The space group is No. 123.

Cell lengths 3.835, 3.835, 3.615 Å; angles 90.00, 90.00, 90.00 degrees
Sites, in units of the cell vectors:
Ti: 0.000 0.000 0.000
Mn: 0.000 0.500 0.500
Mn: 0.500 0.000 0.500
Cu: 0.500 0.500 0.000



No. 5
Material: ErHgO
Method: DFT, PBE-GGA
State: relaxed

Calculated values
Its magnetization is 0.00 μB/f.u. The final energy comes out at -4.944 eV/atom. Its energy above the lowest structure with this stoichiometry is 509.5 meV/atom. The space group is No. 139. The value obtained for the formation energy (no corrections) is -1.670 eV per atom.

Cell lengths 9.002, 9.002, 9.002 Å; angles 156.59, 156.59, 33.34 degrees
Sites, in units of the cell vectors:
Er: 0.079 0.079 0.000
Er: 0.921 0.921 0.000
Hg: 0.303 0.303 0.000
Hg: 0.697 0.697 0.000
O: 0.000 0.500 0.500
O: 0.500 0.000 0.500



No. 6
Material: AlAsOs
Method: DFT, PBE-GGA
State: relaxed

Calculated values
Its magnetization is 0.00 μB/f.u. The final energy comes out at -6.543 eV/atom. The calculation puts the formation enthalpy at 0 K at -0.003 eV/atom. Its energy above the lowest structure with this stoichiometry is 20.7 meV/atom. The space group is No. 107.

Cell lengths 5.910, 5.910, 5.910 Å; angles 150.74, 150.74, 41.85 degrees
Sites, in units of the cell vectors:
Al: 0.000 0.000 0.000
As: 0.281 0.281 0.000
Os: 0.643 0.643 0.000



No. 7
Material: LaCe2Th9
Method: DFT, PBE-GGA
State: relaxed

Calculated values
Its magnetization is 0.00 μB/f.u. The final energy comes out at -6.934 eV/atom. The calculation puts the formation enthalpy at 0 K at 0.030 eV/atom. The space group is No. 123.

Cell lengths 4.998, 4.998, 15.056 Å; angles 90.00, 90.00, 90.00 degrees
Sites, in units of the cell vectors:
La: 0.000 0.000 0.000
Ce: 0.000 0.000 0.336
Ce: 0.000 0.000 0.664
Th: 0.000 0.500 0.172
Th: 0.000 0.500 0.500
Th: 0.000 0.500 0.828
Th: 0.500 0.000 0.172
Th: 0.500 0.000 0.500
Th: 0.500 0.000 0.828
Th: 0.500 0.500 0.000
Th: 0.500 0.500 0.336
Th: 0.500 0.500 0.664



No. 8
Material: BaZnBi
Method: DFT, PBE-GGA
State: relaxed

Calculated values
Its magnetization is 0.00 μB/f.u. The final energy comes out at -2.797 eV/atom. The calculation puts the formation enthalpy at 0 K at -0.438 eV/atom. The space group is No. 12.

Cell lengths 9.098, 9.098, 4.742 Å; angles 104.96, 104.96, 34.00 degrees
Sites, in units of the cell vectors:
Ba: 0.126 0.126 0.378
Ba: 0.874 0.874 0.622
Zn: 0.471 0.471 0.221
Zn: 0.529 0.529 0.779
Bi: 0.301 0.301 0.049
Bi: 0.699 0.699 0.951



No. 9
Material: HoSi2Ru4
Method: DFT, PBE-GGA
State: relaxed

Calculated values
Its magnetization is 0.00 μB/f.u. The final energy comes out at -8.123 eV/atom. The space group is No. 136. The value obtained for the formation energy (no corrections) is -0.619 eV per atom.

Cell lengths 7.499, 7.499, 3.867 Å; angles 90.00, 90.00, 90.00 degrees
Sites, in units of the cell vectors:
Ho: 0.000 0.000 0.000
Ho: 0.500 0.500 0.500
Si: 0.218 0.218 0.500
Si: 0.282 0.718 0.000
Si: 0.718 0.282 0.000
Si: 0.782 0.782 0.500
Ru: 0.079 0.660 0.500
Ru: 0.160 0.421 0.000
Ru: 0.340 0.921 0.500
Ru: 0.421 0.160 0.000
Ru: 0.579 0.840 0.000
Ru: 0.660 0.079 0.500
Ru: 0.840 0.579 0.000
Ru: 0.921 0.340 0.500



No. 10
Material: SmCo4P4
Method: DFT, PBE-GGA
State: relaxed

Calculated values
Its magnetization is 0.00 μB/f.u. The final energy comes out at -6.725 eV/atom. The calculation puts the formation enthalpy at 0 K at -0.638 eV/atom. The space group is No. 137.

Cell lengths 5.675, 5.675, 7.362 Å; angles 90.00, 90.00, 90.00 degrees
Sites, in units of the cell vectors:
Sm: 0.250 0.750 0.250
Sm: 0.750 0.250 0.750
Co: 0.026 0.250 0.127
Co: 0.250 0.026 0.627
Co: 0.250 0.474 0.627
Co: 0.474 0.250 0.127
Co: 0.526 0.750 0.873
Co: 0.750 0.526 0.373
Co: 0.750 0.974 0.373
Co: 0.974 0.750 0.873
P: 0.036 0.250 0.427
P: 0.250 0.036 0.927
P: 0.250 0.464 0.927
P: 0.464 0.250 0.427
P: 0.536 0.750 0.573
P: 0.750 0.536 0.073
P: 0.750 0.964 0.073
P: 0.964 0.750 0.573



No. 11
Material: Hf2NiP
Method: DFT, PBE-GGA
State: relaxed

Calculated values
Its magnetization is 0.00 μB/f.u. The final energy comes out at -8.751 eV/atom. The calculation puts the formation enthalpy at 0 K at -0.976 eV/atom. The space group is No. 11.

Cell lengths 5.181, 3.599, 7.423 Å; angles 90.00, 109.79, 90.00 degrees
Sites, in units of the cell vectors:
Hf: 0.216 0.250 0.424
Hf: 0.279 0.750 0.071
Hf: 0.721 0.250 0.929
Hf: 0.784 0.750 0.576
Ni: 0.145 0.250 0.792
Ni: 0.855 0.750 0.208
P: 0.359 0.750 0.710
P: 0.641 0.250 0.290



No. 12
Material: ZnCd3Si
Method: DFT, PBE-GGA
State: relaxed

Calculated values
Its magnetization is 0.00 μB/f.u. The final energy comes out at -1.240 eV/atom. Its energy above the lowest structure with this stoichiometry is 202.3 meV/atom. The space group is No. 221. The value obtained for the formation energy (no corrections) is 0.649 eV per atom.

Cell lengths 5.016, 5.016, 5.016 Å; angles 90.00, 90.00, 90.00 degrees
Sites, in units of the cell vectors:
Zn: 0.000 0.000 0.000
Cd: 0.000 0.000 0.500
Cd: 0.000 0.500 0.000
Cd: 0.500 0.000 0.000
Si: 0.500 0.500 0.500



No. 13
Material: Ce2ZnOsAu
Method: DFT, PBE-GGA
State: relaxed

Calculated values
Its magnetization is 0.22 μB/f.u. The final energy comes out at -5.935 eV/atom. The calculation puts the formation enthalpy at 0 K at -0.405 eV/atom. The space group is No. 11.

Cell lengths 7.474, 4.075, 7.850 Å; angles 90.00, 110.15, 90.00 degrees
Sites, in units of the cell vectors:
Ce: 0.025 0.250 0.218
Ce: 0.359 0.750 0.618
Ce: 0.641 0.250 0.382
Ce: 0.975 0.750 0.782
Zn: 0.357 0.250 0.953
Zn: 0.643 0.750 0.047
Os: 0.114 0.250 0.626
Os: 0.886 0.750 0.374
Au: 0.323 0.750 0.183
Au: 0.677 0.250 0.817